No. 1
Compound: Rb2LiCu
Source: the Alexandria database
Functional: GGA-PBE
Structure: optimized geometry

Space-group type: Fm-3m (225)
Offset from the most stable computed form, eV per atom: 0.106
Density of states at the Fermi level, states/eV/cell: 1.6

Cell and atoms, written as POSCAR:
```
Rb2LiCu
1.0
0.0000 4.3817 4.3817
4.3817 0.0000 4.3817
4.3817 4.3817 0.0000
Cu Rb Li
1 2 1
Direct
0.5000 0.5000 0.5000
0.2500 0.2500 0.2500
0.7500 0.7500 0.7500
0.0000 0.0000 0.0000
```

No. 2
Compound: Zn3C
Source: the Alexandria database
Functional: GGA-PBE
Structure: optimized geometry

Electronic total energy, eV per atom: -2.97
Space-group type: Cmcm (63)
Density of states at the Fermi level, states/eV/cell: 1.4

Cell and atoms, written as POSCAR:
```
Zn3C
1.0
3.5765 -5.9988 0.0000
3.5765 5.9988 0.0000
0.0000 0.0000 2.6070
Zn C
6 2
Direct
0.0981 0.9019 0.7500
0.9019 0.0981 0.2500
0.1431 0.4690 0.7500
0.8569 0.5310 0.2500
0.5310 0.8569 0.7500
0.4690 0.1431 0.2500
0.5272 0.4728 0.2500
0.4728 0.5272 0.7500
```